[1]
A plane-wave DFT calculation with GGA-PBE was carried out for crystalline Er2NbAl at its relaxed geometry.

a b c (Å): 3.181 3.181 32.697
angles (deg): 90.00 90.00 120.00
Fractional coordinates of all 12 atoms:
Er1 0.000 0.000 0.091
Er2 0.000 0.000 0.909
Er3 0.333 0.667 0.575
Er4 0.333 0.667 0.758
Er5 0.667 0.333 0.242
Er6 0.667 0.333 0.425
Nb1 0.000 0.000 0.000
Nb2 0.333 0.667 0.667
Nb3 0.667 0.333 0.333
Al1 0.000 0.000 0.500
Al2 0.333 0.667 0.167
Al3 0.667 0.333 0.833

Total DFT energy (no corrections), eV per atom: -5.325
SG: R-3m (166)

---

[2]
A plane-wave DFT calculation with GGA-PBE was carried out for crystalline CrCdS2Cl at its relaxed geometry.

a b c (Å): 4.685 4.685 4.684
angles (deg): 90.00 90.00 90.00
Fractional coordinates of all 5 atoms:
Cr1 0.000 0.000 0.000
Cd1 0.500 0.500 0.500
S1 0.000 0.500 0.000
S2 0.500 0.000 0.000
Cl1 0.000 0.000 0.500

Formation energy (no corrections), eV/atom: -0.206
Polymorph energy (0 for the lowest one), meV/atom: 0
SG: P4/mmm (123)

---

[3]
A plane-wave DFT calculation with GGA-PBE was carried out for crystalline AcCuPt2 at its relaxed geometry.

a b c (Å): 4.232 18.642 4.320
angles (deg): 90.00 90.00 90.00
Fractional coordinates of all 16 atoms:
Ac1 0.000 0.109 0.250
Ac2 0.000 0.891 0.750
Ac3 0.500 0.391 0.750
Ac4 0.500 0.609 0.250
Cu1 0.000 0.326 0.250
Cu2 0.000 0.674 0.750
Cu3 0.500 0.174 0.750
Cu4 0.500 0.826 0.250
Pt1 0.000 0.251 0.750
Pt2 0.000 0.459 0.250
Pt3 0.000 0.541 0.750
Pt4 0.000 0.749 0.250
Pt5 0.500 0.041 0.750
Pt6 0.500 0.249 0.250
Pt7 0.500 0.751 0.750
Pt8 0.500 0.959 0.250

Polymorph energy (0 for the lowest one), meV/atom: 0
SG: Cmcm (63)